(i)
{"formula": "Ac2TlBr", "functional": "GGA-PBE", "state": "optimized geometry", "spacegroup": "P2/c", "lattice": [[8.621, 0.000, 0.000], [0.000, 5.131, 0.000], [-2.068, 0.000, 7.733]], "species": ["Ac", "Ac", "Ac", "Ac", "Tl", "Tl", "Br", "Br"], "fractional_positions": [[0.207, 0.216, 0.164], [0.207, 0.784, 0.664], [0.793, 0.216, 0.336], [0.793, 0.784, 0.836], [0.000, 0.277, 0.750], [0.000, 0.723, 0.250], [0.500, 0.000, 0.000], [0.500, 0.000, 0.500]]}

=====

(ii)
{"formula": "Ac2TlBr", "functional": "GGA-PBE", "state": "optimized geometry", "spacegroup": "P2/m", "lattice": [[5.304, 0.000, 0.000], [0.000, 4.133, 0.000], [-0.015, 0.000, 6.643]], "species": ["Ac", "Ac", "Tl", "Br"], "fractional_positions": [[0.000, 0.000, 0.000], [0.500, 0.500, 0.500], [0.000, 0.000, 0.500], [0.500, 0.500, 0.000]]}

=====

Verdict on stability: (i) comes out at the bottom.

=====

(i)
{"formula": "AcTlBr4", "functional": "GGA-PBE", "state": "optimized geometry", "spacegroup": "C2/m", "lattice": [[6.555, -2.386, 0.000], [6.555, 2.386, 0.000], [-1.849, 0.000, 8.465]], "species": ["Ac", "Tl", "Br", "Br", "Br", "Br"], "fractional_positions": [[0.000, 0.000, 0.000], [0.500, 0.500, 0.500], [0.120, 0.120, 0.335], [0.376, 0.376, 0.097], [0.624, 0.624, 0.903], [0.880, 0.880, 0.665]]}

=====

(ii)
{"formula": "AcTlBr4", "functional": "GGA-PBE", "state": "optimized geometry", "spacegroup": "C2/c", "lattice": [[5.114, -7.151, 0.000], [5.114, 7.151, 0.000], [-4.503, 0.000, 6.426]], "species": ["Ac", "Ac", "Tl", "Tl", "Br", "Br", "Br", "Br", "Br", "Br", "Br", "Br"], "fractional_positions": [[0.010, 0.990, 0.750], [0.990, 0.010, 0.250], [0.365, 0.635, 0.250], [0.635, 0.365, 0.750], [0.060, 0.731, 0.939], [0.222, 0.342, 0.720], [0.269, 0.940, 0.561], [0.342, 0.222, 0.220], [0.658, 0.778, 0.780], [0.731, 0.060, 0.439], [0.778, 0.658, 0.280], [0.940, 0.269, 0.061]]}

=====

Verdict on stability: (ii) comes out at the bottom.